(one)
DFT (PBE) results for a geometry-optimized CdTeSeN2 structure.

Cell lengths 4.2495, 4.2495, 6.7072 Å; angles 90.00, 90.00, 90.00 degrees
Fractional coordinates of all 5 atoms:
N: 0.5000 0.0000 0.0000
N: 0.0000 0.5000 0.0000
Te: 0.0000 0.0000 0.5000
Se: 0.5000 0.5000 0.5000
Cd: 0.0000 0.0000 0.0000

Computed properties:
**Density**: 4.8 Mg/m³
**Space group**: P4/mmm, No. 123

---

(two)
DFT (PBE) results for a geometry-optimized CdTeSeN2 structure.

Cell lengths 4.2816, 4.2816, 6.2128 Å; angles 90.00, 90.00, 90.00 degrees
Fractional coordinates of all 5 atoms:
N: 0.0000 0.5000 0.0000
N: 0.5000 0.0000 0.0000
Te: 0.5000 0.5000 0.5000
Se: 0.0000 0.0000 0.5000
Cd: 0.0000 0.0000 0.0000

Computed properties:
**Density**: 5.1 Mg/m³
**Space group**: P4/mmm, No. 123

---

Verdict on stability: (one) comes out at the bottom.

---

(one)
DFT (PBE) results for a geometry-optimized CdTe2SeN structure.

Cell lengths 4.7526, 4.7326, 4.7526 Å; angles 90.00, 90.00, 90.00 degrees
Fractional coordinates of all 5 atoms:
N: 0.0000 0.0000 0.0000
Cd: 0.5000 0.5000 0.5000
Te: 0.0000 0.0000 0.5000
Te: 0.5000 0.0000 0.0000
Se: 0.0000 0.5000 0.0000

Computed properties:
**Density**: 7.2 Mg/m³
**Space group**: P4/mmm, No. 123

---

(two)
DFT (PBE) results for a geometry-optimized CdTe2SeN structure.

Cell lengths 5.7242, 5.7242, 4.1008 Å; angles 90.00, 90.00, 90.00 degrees
Fractional coordinates of all 5 atoms:
Se: 0.5000 0.5000 0.5000
Te: 0.0000 0.5000 0.0000
Te: 0.5000 0.0000 0.0000
N: 0.0000 0.0000 0.5000
Cd: 0.0000 0.0000 0.0000

Computed properties:
**Density**: 5.7 Mg/m³
**Space group**: P4/mmm, No. 123

---

(three)
DFT (PBE) results for a geometry-optimized CdTe2SeN structure.

Cell lengths 5.8119, 5.8119, 3.6862 Å; angles 90.00, 90.00, 90.00 degrees
Fractional coordinates of all 5 atoms:
N: 0.0000 0.0000 0.5000
Se: 0.0000 0.0000 0.0000
Te: 0.0000 0.5000 0.0000
Te: 0.5000 0.0000 0.0000
Cd: 0.5000 0.5000 0.5000

Computed properties:
**Density**: 6.1 Mg/m³
**Space group**: P4/mmm, No. 123

---

Verdict on stability: (two) comes out at the bottom.

---

(one)
DFT (PBE) results for a geometry-optimized TiCdSe2N structure.

Cell lengths 5.1804, 5.1804, 4.0362 Å; angles 90.00, 90.00, 90.00 degrees
Fractional coordinates of all 5 atoms:
Cd: 0.0000 0.0000 0.0000
N: 0.0000 0.0000 0.5000
Se: 0.5000 0.0000 0.0000
Se: 0.0000 0.5000 0.0000
Ti: 0.5000 0.5000 0.5000

Computed properties:
**Density**: 5.1 Mg/m³
**Space group**: P4/mmm, No. 123

---

(two)
DFT (PBE) results for a geometry-optimized TiCdSe2N structure.

Cell lengths 5.1749, 5.1749, 3.7712 Å; angles 90.00, 90.00, 90.00 degrees
Fractional coordinates of all 5 atoms:
Ti: 0.0000 0.0000 0.0000
Se: 0.0000 0.5000 0.0000
Se: 0.5000 0.0000 0.0000
Cd: 0.5000 0.5000 0.5000
N: 0.0000 0.0000 0.5000

Computed properties:
**Density**: 5.5 Mg/m³
**Space group**: P4/mmm, No. 123

---

Verdict on stability: (one) comes out at the bottom.

---

(one)
DFT (PBE) results for a geometry-optimized TlCdSe2N structure.

Cell lengths 5.5151, 5.5151, 4.3392 Å; angles 90.00, 90.00, 90.00 degrees
Fractional coordinates of all 5 atoms:
Se: 0.5000 0.0000 0.0000
Se: 0.0000 0.5000 0.0000
N: 0.0000 0.0000 0.5000
Cd: 0.5000 0.5000 0.5000
Tl: 0.0000 0.0000 0.0000

Computed properties:
**Density**: 6.1 Mg/m³
**Space group**: P4/mmm, No. 123

---

(two)
DFT (PBE) results for a geometry-optimized TlCdSe2N structure.

Cell lengths 5.5307, 5.5307, 4.2937 Å; angles 90.00, 90.00, 90.00 degrees
Fractional coordinates of all 5 atoms:
Cd: 0.0000 0.0000 0.0000
Se: 0.5000 0.0000 0.0000
Se: 0.0000 0.5000 0.0000
N: 0.0000 0.0000 0.5000
Tl: 0.5000 0.5000 0.5000

Computed properties:
**Density**: 6.2 Mg/m³
**Space group**: P4/mmm, No. 123

---

Verdict on stability: (one) comes out at the bottom.

---

(one)
DFT (PBE) results for a geometry-optimized YCdSeN2 structure.

Cell lengths 4.2609, 4.2609, 5.2266 Å; angles 90.00, 90.00, 90.00 degrees
Fractional coordinates of all 5 atoms:
Se: 0.0000 0.0000 0.5000
N: 0.0000 0.5000 0.0000
N: 0.5000 0.0000 0.0000
Cd: 0.0000 0.0000 0.0000
Y: 0.5000 0.5000 0.5000

Computed properties:
**Density**: 5.4 Mg/m³
**Space group**: P4/mmm, No. 123

---

(two)
DFT (PBE) results for a geometry-optimized YCdSeN2 structure.

Cell lengths 4.4373, 4.4373, 5.8264 Å; angles 90.00, 90.00, 90.00 degrees
Fractional coordinates of all 5 atoms:
Se: 0.0000 0.0000 0.5000
N: 0.5000 0.0000 0.0000
N: 0.0000 0.5000 0.0000
Y: 0.0000 0.0000 0.0000
Cd: 0.5000 0.5000 0.5000

Computed properties:
**Density**: 4.5 Mg/m³
**Space group**: P4/mmm, No. 123

---

Verdict on stability: (one) comes out at the bottom.

---

(one)
DFT (PBE) results for a geometry-optimized Cd2SiN2 structure.

Cell lengths 4.9292, 4.9292, 5.1380 Å; angles 61.34, 61.34, 90.00 degrees
Fractional coordinates of all 5 atoms:
N: 0.5755 0.5755 0.8490
N: 0.4245 0.4245 0.1510
Cd: 0.7500 0.2500 0.5000
Cd: 0.2500 0.7500 0.5000
Si: 0.0000 0.0000 0.0000

Computed properties:
**Density**: 5.1 Mg/m³
**Space group**: I4/mmm, No. 139

---

(two)
DFT (PBE) results for a geometry-optimized Cd2SiN2 structure.

Cell lengths 5.1566, 5.1566, 5.6168 Å; angles 90.00, 90.00, 90.00 degrees
Fractional coordinates of all 10 atoms:
Cd: 0.1879 0.6879 0.5000
Cd: 0.8121 0.3121 0.5000
Cd: 0.6879 0.8121 0.5000
Cd: 0.3121 0.1879 0.5000
N: 0.2533 0.2467 0.0000
N: 0.2467 0.7467 0.0000
N: 0.7533 0.2533 0.0000
N: 0.7467 0.7533 0.0000
Si: 0.5000 0.5000 0.0000
Si: 0.0000 0.0000 0.0000

Computed properties:
**Density**: 6.2 Mg/m³
**Space group**: P4/mbm, No. 127

---

Verdict on stability: (two) comes out at the bottom.

---

(one)
DFT (PBE) results for a geometry-optimized CdSi2N structure.

Cell lengths 4.8517, 4.8517, 6.4800 Å; angles 68.02, 68.02, 90.00 degrees
Fractional coordinates of all 8 atoms:
Si: 0.3750 0.5229 0.7500
Si: 0.2729 0.6250 0.2500
Si: 0.8750 0.7271 0.7500
Si: 0.4771 0.1250 0.2500
Cd: 0.0000 0.0000 0.0000
Cd: 0.7500 0.2500 0.5000
N: 0.5000 0.5000 0.0000
N: 0.2500 0.7500 0.5000

Computed properties:
**Density**: 4.7 Mg/m³
**Space group**: I-42d, No. 122

---

(two)
DFT (PBE) results for a geometry-optimized CdSi2N structure.

Cell lengths 4.4405, 4.4405, 4.4405 Å; angles 60.00, 60.00, 60.00 degrees
Fractional coordinates of all 4 atoms:
Si: 0.2500 0.2500 0.2500
Si: 0.7500 0.7500 0.7500
N: 0.0000 0.0000 0.0000
Cd: 0.5000 0.5000 0.5000

Computed properties:
**Density**: 4.9 Mg/m³
**Space group**: Fm-3m, No. 225

---

Verdict on stability: (two) comes out at the bottom.

---

(one)
DFT (PBE) results for a geometry-optimized Sm4Cd2N structure.

Cell lengths 3.5674, 9.2641, 6.5738 Å; angles 120.49, 90.00, 90.00 degrees
Fractional coordinates of all 7 atoms:
Sm: 0.0000 0.3916 0.2439
Sm: 0.5000 0.1030 0.3353
Sm: 0.5000 0.0398 0.8076
Sm: 0.0000 0.7512 0.8991
Cd: 0.5000 0.7236 0.3126
Cd: 0.5000 0.4192 0.8303
N: 0.0000 0.0714 0.0714

Computed properties:
**Density**: 7.5 Mg/m³
**Space group**: P2/m, No. 10

---

(two)
DFT (PBE) results for a geometry-optimized Sm4Cd2N structure.

Cell lengths 4.9984, 4.9984, 8.3559 Å; angles 72.60, 72.60, 90.00 degrees
Fractional coordinates of all 7 atoms:
Sm: 0.5000 0.0000 0.0000
Sm: 0.1628 0.1628 0.6744
Sm: 0.8372 0.8372 0.3256
Sm: 0.0000 0.5000 0.0000
Cd: 0.6312 0.6312 0.7376
Cd: 0.3688 0.3688 0.2624
N: 0.0000 0.0000 0.0000

Computed properties:
**Density**: 7.4 Mg/m³
**Space group**: I4/mmm, No. 139

---

Verdict on stability: (one) comes out at the bottom.